Below is a PBEsol-optimized structure of TbNi2P2, with properties calculated at the meta-GGA SCAN level.

Properties
SG   I4/mmm, No. 139
Total magnetic moment   0.0 μB per cell
N(E_F)   3.2 states/eV/cell
Energy of formation   -521 kJ/mol of formula units

Cell lengths 3.834, 3.834, 9.283 Å; angles 90.00, 90.00, 90.00 degrees
Atoms (fractional coordinates):
Tb 0.000 0.000 0.000
Tb 0.500 0.500 0.500
Ni 0.000 0.500 0.250
Ni 0.000 0.500 0.750
Ni 0.500 0.000 0.250
Ni 0.500 0.000 0.750
P 0.000 0.000 0.376
P 0.000 0.000 0.624
P 0.500 0.500 0.124
P 0.500 0.500 0.876